Crystalline ZnCrCl2 at its relaxed geometry, computed with GGA-PBE.

Calculated values
- raw formation energy (meV/atom) = -408
- ρ (Mg/m³) = 2.802
- energy relative to the lowest polymorph listed for this composition (meV/atom) = 75.5

```
data_ZnCrCl2
_chemical_formula_sum 'Zn2 Cr2 Cl4'
_symmetry_space_group_name_H-M 'I m m 2'
_symmetry_Int_Tables_number 44
_cell_length_a 3.2972
_cell_length_b 7.5041
_cell_length_c 9.0199
_cell_angle_alpha 90.00
_cell_angle_beta 90.00
_cell_angle_gamma 90.00
loop_
_symmetry_equiv_pos_as_xyz
'x,y,z'
'-x,-y,z'
'-x,y,z'
'x,-y,z'
'x+1/2,y+1/2,z+1/2'
'-x+1/2,-y+1/2,z+1/2'
'-x+1/2,y+1/2,z+1/2'
'x+1/2,-y+1/2,z+1/2'
loop_
_atom_site_label
_atom_site_fract_x
_atom_site_fract_y
_atom_site_fract_z
_atom_site_occupancy
Zn1 0.0000 0.0000 0.0000 1
Cr1 0.0000 0.5000 0.2623 1
Cl1 0.0000 0.0000 0.5828 1
Cl2 0.0000 0.5000 0.6887 1
```